# Ga2ICl8, relaxed, DFT PBE
# theoretical density = 2.22 g cm⁻³
# uncorrected formation energy = -0.780 eV per atom
# E_tot = -61.91 eV for the cell shown
# spin magnetization = 2.01 μB/cell
# volume = 37.4 Å³ per atom
data_Ga2ICl8
_cell_length_a 12.8101
_cell_length_b 7.8862
_cell_length_c 8.1475
_cell_angle_alpha 90.00
_cell_angle_beta 91.07
_cell_angle_gamma 90.00
_symmetry_space_group_name_H-M 'C 1 2/m 1'
_symmetry_Int_Tables_number 12
_symmetry_space_group_name_Hall '-C 2y'
loop_
_atom_site_label
_atom_site_fract_x
_atom_site_fract_y
_atom_site_fract_z
Ga1 0.2123 0.0000 0.1868
I1 0.0000 0.0000 0.5000
Cl1 0.1140 0.2124 0.2963
Cl2 0.1335 0.5000 0.7066
Cl3 0.1958 0.0000 0.9237

# GaICl2, relaxed, DFT PBE
# theoretical density = 1.86 g cm⁻³
# D(E_F) = 0.00 states/eV per cell
# relative energy among the computed polymorphs = 0 meV/atom
# uncorrected formation energy = -0.806 eV per atom
# E_tot = -22.99 eV for the cell shown
# spin magnetization = 0.11 μB/cell
# volume = 59.8 Å³ per atom
data_GaICl2
_cell_length_a 7.0109
_cell_length_b 9.3045
_cell_length_c 7.3344
_cell_angle_alpha 90.00
_cell_angle_beta 90.00
_cell_angle_gamma 90.00
_symmetry_space_group_name_H-M 'I m m 2'
_symmetry_Int_Tables_number 44
_symmetry_space_group_name_Hall 'I 2 -2'
loop_
_atom_site_label
_atom_site_fract_x
_atom_site_fract_y
_atom_site_fract_z
Ga1 0.0000 0.0000 0.0000
I1 0.0000 0.0000 0.6653
Cl1 0.0000 0.1945 0.1544

# Ga2I2Cl, relaxed, DFT PBE
# theoretical density = 4.05 g cm⁻³
# D(E_F) = 1.91 states/eV per cell
# relative energy among the computed polymorphs = 0 meV/atom
# uncorrected formation energy = -0.406 eV per atom
# E_tot = -26.06 eV for the cell shown
# spin magnetization = 0.00 μB/cell
# volume = 35.2 Å³ per atom
data_Ga2I2Cl
_cell_length_a 7.6073
_cell_length_b 7.9007
_cell_length_c 7.9163
_cell_angle_alpha 63.10
_cell_angle_beta 61.50
_cell_angle_gamma 61.65
_symmetry_space_group_name_H-M 'P -1'
_symmetry_Int_Tables_number 2
_symmetry_space_group_name_Hall '-P 1'
loop_
_atom_site_label
_atom_site_fract_x
_atom_site_fract_y
_atom_site_fract_z
Ga1 0.0561 0.2750 0.2244
Ga2 0.4425 0.2755 0.2250
I1 0.1839 0.3136 0.8132
I2 0.3159 0.6872 0.1862
Cl1 0.2512 0.8361 0.6638

# Ga2ICl2, relaxed, DFT PBE
# theoretical density = 3.38 g cm⁻³
# D(E_F) = 5.14 states/eV per cell
# uncorrected formation energy = -0.652 eV per atom
# E_tot = -29.11 eV for the cell shown
# spin magnetization = 0.00 μB/cell
# volume = 33.2 Å³ per atom
data_Ga2ICl2
_cell_length_a 5.2889
_cell_length_b 7.2846
_cell_length_c 8.8221
_cell_angle_alpha 77.94
_cell_angle_beta 86.40
_cell_angle_gamma 87.71
_symmetry_space_group_name_H-M 'P -1'
_symmetry_Int_Tables_number 2
_symmetry_space_group_name_Hall '-P 1'
loop_
_atom_site_label
_atom_site_fract_x
_atom_site_fract_y
_atom_site_fract_z
Ga1 0.1440 0.2830 0.1969
Ga2 0.2554 0.2019 0.6913
I1 0.2344 0.7671 0.4149
Cl1 0.2308 0.4047 0.8717
Cl2 0.2612 0.9100 0.8633

# GaICl2, relaxed, DFT PBE
# theoretical density = 3.96 g cm⁻³
# D(E_F) = 12.58 states/eV per cell
# relative energy among the computed polymorphs = 840 meV/atom
# uncorrected formation energy = 0.034 eV per atom
# E_tot = -32.54 eV for the cell shown
# spin magnetization = 8.00 μB/cell
# volume = 28.0 Å³ per atom
data_GaICl2
_cell_length_a 7.6557
_cell_length_b 7.6557
_cell_length_c 7.6557
_cell_angle_alpha 90.00
_cell_angle_beta 90.00
_cell_angle_gamma 90.00
_symmetry_space_group_name_H-M 'F m -3 m'
_symmetry_Int_Tables_number 225
_symmetry_space_group_name_Hall '-F 4 2 3'
loop_
_atom_site_label
_atom_site_fract_x
_atom_site_fract_y
_atom_site_fract_z
Ga1 0.0000 0.0000 0.0000
I1 0.0000 0.0000 0.5000
Cl1 0.2500 0.2500 0.2500

# GaICl, relaxed, DFT PBE
# theoretical density = 3.22 g cm⁻³
# D(E_F) = 0.00 states/eV per cell
# relative energy among the computed polymorphs = 0 meV/atom
# uncorrected formation energy = -0.734 eV per atom
# E_tot = -17.25 eV for the cell shown
# spin magnetization = 0.00 μB/cell
# volume = 39.8 Å³ per atom
data_GaICl
_cell_length_a 4.0961
_cell_length_b 6.8899
_cell_length_c 8.9627
_cell_angle_alpha 76.34
_cell_angle_beta 76.88
_cell_angle_gamma 89.95
_symmetry_space_group_name_H-M 'P -1'
_symmetry_Int_Tables_number 2
_symmetry_space_group_name_Hall '-P 1'
loop_
_atom_site_label
_atom_site_fract_x
_atom_site_fract_y
_atom_site_fract_z
Ga1 0.0716 0.0228 0.3562
I1 0.3848 0.1893 0.7309
Cl1 0.1519 0.3165 0.1943

# Ga2I3Cl, relaxed, DFT PBE
# theoretical density = 3.26 g cm⁻³
# uncorrected formation energy = -0.551 eV per atom
# E_tot = -31.71 eV for the cell shown
# spin magnetization = 0.00 μB/cell
# volume = 47.1 Å³ per atom
data_Ga2I3Cl
_cell_length_a 4.0651
_cell_length_b 11.7062
_cell_length_c 12.1138
_cell_angle_alpha 78.78
_cell_angle_beta 89.97
_cell_angle_gamma 89.85
_symmetry_space_group_name_H-M 'P -1'
_symmetry_Int_Tables_number 2
_symmetry_space_group_name_Hall '-P 1'
loop_
_atom_site_label
_atom_site_fract_x
_atom_site_fract_y
_atom_site_fract_z
Ga1 0.0006 0.4041 0.4720
Ga2 0.0022 0.9085 0.9646
I1 0.0018 0.3739 0.2715
I2 0.0027 0.7005 0.0649
I3 0.4986 0.7243 0.4126
Cl1 0.4990 0.0675 0.1544

# GaICl2, relaxed, DFT PBE
# theoretical density = 2.76 g cm⁻³
# D(E_F) = 7.55 states/eV per cell
# relative energy among the computed polymorphs = 420 meV/atom
# uncorrected formation energy = -0.387 eV per atom
# E_tot = -39.27 eV for the cell shown
# spin magnetization = 3.37 μB/cell
# volume = 40.2 Å³ per atom
data_GaICl2
_cell_length_a 7.6780
_cell_length_b 7.6780
_cell_length_c 10.9239
_cell_angle_alpha 90.00
_cell_angle_beta 90.00
_cell_angle_gamma 90.00
_symmetry_space_group_name_H-M 'I -4 2 d'
_symmetry_Int_Tables_number 122
_symmetry_space_group_name_Hall 'I -4 2bw'
loop_
_atom_site_label
_atom_site_fract_x
_atom_site_fract_y
_atom_site_fract_z
Ga1 0.0000 0.0000 0.0000
I1 0.0000 0.0000 0.5000
Cl1 0.0022 0.7500 0.1250

# GaICl2, relaxed, DFT PBE
# theoretical density = 3.28 g cm⁻³
# D(E_F) = 17.03 states/eV per cell
# relative energy among the computed polymorphs = 400 meV/atom
# uncorrected formation energy = -0.407 eV per atom
# E_tot = -29.69 eV for the cell shown
# spin magnetization = 0.00 μB/cell
# volume = 33.8 Å³ per atom
data_GaICl2
_cell_length_a 3.6151
_cell_length_b 3.6151
_cell_length_c 35.8657
_cell_angle_alpha 90.00
_cell_angle_beta 90.00
_cell_angle_gamma 120.00
_symmetry_space_group_name_H-M 'R -3 m'
_symmetry_Int_Tables_number 166
_symmetry_space_group_name_Hall '-R 3 2"'
loop_
_atom_site_label
_atom_site_fract_x
_atom_site_fract_y
_atom_site_fract_z
Ga1 0.0000 0.0000 0.0000
I1 0.0000 0.0000 0.5000
Cl1 0.0000 0.0000 0.3760

# GaI2Cl, relaxed, DFT PBE
# theoretical density = 3.21 g cm⁻³
# D(E_F) = 0.00 states/eV per cell
# relative energy among the computed polymorphs = 0 meV/atom
# uncorrected formation energy = -0.671 eV per atom
# E_tot = -10.66 eV for the cell shown
# spin magnetization = 0.00 μB/cell
# volume = 46.5 Å³ per atom
data_GaI2Cl
_cell_length_a 4.1426
_cell_length_b 6.3171
_cell_length_c 7.4872
_cell_angle_alpha 106.68
_cell_angle_beta 97.49
_cell_angle_gamma 90.20
_symmetry_space_group_name_H-M 'P 1'
_symmetry_Int_Tables_number 1
_symmetry_space_group_name_Hall 'P 1'
loop_
_atom_site_label
_atom_site_fract_x
_atom_site_fract_y
_atom_site_fract_z
Ga1 0.0000 0.0000 0.0000
I1 0.0689 0.9336 0.3152
I2 0.4924 0.2621 0.9626
Cl1 0.9408 0.7167 0.7515

# GaI2Cl, relaxed, DFT PBE
# theoretical density = 4.47 g cm⁻³
# D(E_F) = 0.00 states/eV per cell
# relative energy among the computed polymorphs = 463 meV/atom
# uncorrected formation energy = -0.208 eV per atom
# E_tot = -35.23 eV for the cell shown
# spin magnetization = 0.00 μB/cell
# volume = 33.3 Å³ per atom
data_GaI2Cl
_cell_length_a 7.9494
_cell_length_b 7.9494
_cell_length_c 8.4400
_cell_angle_alpha 90.00
_cell_angle_beta 90.00
_cell_angle_gamma 90.00
_symmetry_space_group_name_H-M 'I -4 2 d'
_symmetry_Int_Tables_number 122
_symmetry_space_group_name_Hall 'I -4 2bw'
loop_
_atom_site_label
_atom_site_fract_x
_atom_site_fract_y
_atom_site_fract_z
Ga1 0.0000 0.0000 0.0000
I1 0.1869 0.2500 0.1250
Cl1 0.0000 0.0000 0.5000

# InGaI2Cl, relaxed, DFT PBE
# theoretical density = 4.56 g cm⁻³
# D(E_F) = 1.69 states/eV per cell
# uncorrected formation energy = -0.497 eV per atom
# E_tot = -13.20 eV for the cell shown
# spin magnetization = 0.00 μB/cell
# volume = 34.5 Å³ per atom
data_InGaI2Cl
_cell_length_a 5.8635
_cell_length_b 5.8635
_cell_length_c 5.0190
_cell_angle_alpha 90.00
_cell_angle_beta 90.00
_cell_angle_gamma 90.00
_symmetry_space_group_name_H-M 'P 4/m m m'
_symmetry_Int_Tables_number 123
_symmetry_space_group_name_Hall '-P 4 2'
loop_
_atom_site_label
_atom_site_fract_x
_atom_site_fract_y
_atom_site_fract_z
In1 0.0000 0.0000 0.0000
Ga1 0.5000 0.5000 0.5000
I1 0.0000 0.5000 0.5000
Cl1 0.5000 0.5000 0.0000